# 1
Here is a relaxed structure of TeS3F from Alexandria via LeMat-Bulk. Energies are from GGA-PBE.

abc: 4.4805 4.4805 4.4805
angles: 90.00 90.00 90.00
Last column: nearest neighbours and their distance in Å.
Element x y z (fractional)
S: 0.5000 0.0000 0.0000  2 F 2.24
F: 0.0000 0.0000 0.0000  6 S 2.24
S: 0.0000 0.5000 0.0000  2 F 2.24
Te: 0.5000 0.5000 0.5000  12 S 3.17
S: 0.0000 0.0000 0.5000  2 F 2.24

Output
ρ   4.5 g/cm³
Raw formation energy   19.43 kcal/mol of atoms
Electronic total energy   -2.64 eV/atom
V   89.9 Å³ per cell
SG   Pm-3m (221)

---

# 2
Here is a relaxed structure of TeS6F2 from Alexandria via LeMat-Bulk. Energies are from GGA-PBE.

abc: 7.9931 7.9931 3.8132
angles: 76.26 76.26 90.91
Last column: nearest neighbours and their distance in Å.
Element x y z (fractional)
S: 0.7331 0.4452 0.7991  2 S 2.07
Te: 0.0000 0.0000 0.0000  4 F 2.28
F: 0.8903 0.1097 0.5000  2 Te 2.28, 1 F 2.50
S: 0.4452 0.7331 0.7991  2 S 2.07
S: 0.5548 0.2669 0.2009  2 S 2.07
S: 0.6776 0.6776 0.9362  2 S 2.07
F: 0.1097 0.8903 0.5000  2 Te 2.28, 1 F 2.50
S: 0.2669 0.5548 0.2009  2 S 2.07
S: 0.3224 0.3224 0.0638  2 S 2.07

Output
ρ   2.6 g/cm³
Raw formation energy   -7.74 kcal/mol of atoms
Electronic total energy   -3.85 eV/atom
V   229.2 Å³ per cell
SG   C2/m (12)

---

# 3
Here is a relaxed structure of TeSF2 from Alexandria via LeMat-Bulk. Energies are from GGA-PBE.

abc: 9.8539 9.8539 9.8539
angles: 17.85 17.85 17.85
Last column: nearest neighbours and their distance in Å.
Element x y z (fractional)
Te: 0.5000 0.5000 0.5000  6 Te 3.06
F: 0.9407 0.9407 0.9407  1 S 1.73
S: 0.0000 0.0000 0.0000  2 F 1.73
F: 0.0593 0.0593 0.0593  1 S 1.73

Output
ρ   4.2 g/cm³
Raw formation energy   -13.82 kcal/mol of atoms
Electronic total energy   -3.35 eV/atom
V   78.5 Å³ per cell
SG   R-3m (166)